Record 1
KSe3 at its PBEsol-relaxed geometry. Source: Alexandria, functional meta-GGA SCAN.

The structure in POSCAR format:
```
KSe3
1.0
4.2188 0.0000 0.0000
0.0000 4.2188 0.0000
-2.1094 -2.1094 5.0497
K Se
1 3
Cartesian
0.0000 0.0000 0.0000
0.0000 2.1094 2.5248
2.1094 2.1094 0.0000
2.1094 0.0000 2.5248
```

Output
- Volume: 89.9 Å³/f.u.
- Energy: -17.14 eV/atom
- Symmetry: I4/mmm, No. 139
- Energy relative to the elements, uncorrected: -4 meV/atom
- Energy relative to the lowest polymorph listed for this composition: 0.541 eV/atom

---

Record 2
NiSb2Te at its PBEsol-relaxed geometry. Source: Alexandria, functional meta-GGA SCAN.

The structure in POSCAR format:
```
NiSb2Te
1.0
-1.3200 -0.0880 -2.8885
1.6041 -4.5820 -0.5934
-5.0347 0.3247 4.0380
Te Ni Sb
1 1 2
Cartesian
0.8020 -2.2910 -0.2967
-0.6600 -0.0440 -1.4442
-1.7686 -0.7267 0.8303
-2.9820 -3.6186 -0.2743
```

Output
- Volume: 89.6 Å³/f.u.
- Energy: -31.86 eV/atom
- Symmetry: Immm, No. 71
- Energy relative to the elements, uncorrected: 122 meV/atom

---

Record 3
ScMnNi2 at its PBEsol-relaxed geometry. Source: Alexandria, functional meta-GGA SCAN.

The structure in POSCAR format:
```
ScMnNi2
1.0
3.1403 0.0517 0.0000
-0.0513 3.1403 0.0000
0.0000 0.0000 5.4824
Mn Ni Sc
1 2 1
Cartesian
1.5445 1.5960 4.4099
1.5445 1.5960 1.2928
0.0000 0.0000 5.3976
0.0000 0.0000 2.6058
```

Output
- Volume: 54.1 Å³/f.u.
- Formation enthalpy at 0 K: -19.07 kJ/mol of atoms
- Energy: -16.41 eV/atom
- Symmetry: P4mm, No. 99

---

Record 4
Bi2Se3O9 at its PBEsol-relaxed geometry. Source: Alexandria, functional meta-GGA SCAN.

The structure in POSCAR format:
```
Bi2Se3O9
1.0
4.6229 0.0000 0.0000
0.0000 13.4777 -0.0339
0.0000 -6.4910 13.4704
Bi Se O
8 12 36
Cartesian
3.0037 -0.0865 4.1444
3.9306 3.4068 10.8626
1.6192 7.0732 9.2921
1.6602 7.0886 4.5864
0.6512 -2.8958 11.3386
3.9717 9.8824 2.0979
2.9627 -0.1019 8.8500
0.6923 3.5799 2.5739
4.1185 5.9223 6.9481
2.7540 3.5170 5.0303
2.8158 2.4290 0.2299
0.4426 -0.0236 1.6879
1.3862 10.3070 5.0961
0.9253 0.3226 11.8482
3.2367 -3.3203 8.3404
1.8689 3.4697 8.4061
1.8071 4.5576 13.2065
0.5044 1.0643 6.4883
3.6976 6.6640 1.5882
4.1803 7.0103 11.7485
3.5445 4.5276 13.2770
4.4405 7.9773 0.7781
2.6980 11.0166 4.2204
2.2036 4.7832 3.9668
2.4193 2.2034 9.4697
3.1170 -3.1953 12.2344
3.9098 7.1041 8.1880
0.1824 -0.9907 12.6583
2.4568 4.7479 9.4049
3.8174 6.7891 5.4823
0.1079 8.2766 10.6850
3.0388 7.7004 2.8580
4.2364 1.0322 10.9726
4.4776 1.2546 2.6867
2.5008 7.0159 11.4404
2.1290 8.9937 5.9062
1.0784 2.4591 0.1594
0.1894 3.4640 8.7143
1.5984 3.3759 11.9666
4.4336 3.5226 4.7221
2.4939 -2.0070 7.5303
3.8955 -2.2840 9.6101
0.8056 0.1975 7.9542
1.5841 -0.7137 10.5785
0.7131 -0.1174 5.2484
0.7274 9.2706 3.8263
1.9249 -4.0299 9.2160
0.1453 5.7320 10.7497
1.2330 5.9524 6.8776
0.3865 5.9544 2.4639
2.1661 2.2387 4.0315
3.0245 3.6108 1.4698
1.5059 10.1819 1.2020
2.1221 -0.0293 1.9961
4.5150 -1.2899 2.7514
3.3899 1.0342 6.5588
```

Output
- Volume: 209.6 Å³/f.u.
- Energy: -20.57 eV/atom
- Symmetry: P2_1/c, No. 14
- Energy relative to the elements, uncorrected: -1040 meV/atom

---

Record 5
ReSiOF2 at its PBEsol-relaxed geometry. Source: Alexandria, functional meta-GGA SCAN.

The structure in POSCAR format:
```
ReSiOF2
1.0
3.7356 0.0000 0.0000
0.0000 4.2552 0.0000
0.0000 0.0000 4.2552
O Si F Re
1 1 2 1
Cartesian
1.8678 0.0000 0.0000
1.8678 2.1276 2.1276
0.0000 0.0000 2.1276
0.0000 2.1276 0.0000
0.0000 0.0000 0.0000
```

Output
- Volume: 67.6 Å³/f.u.
- Energy: -19.34 eV/atom
- Symmetry: P4/mmm, No. 123
- Energy relative to the elements, uncorrected: -452 meV/atom
- Energy relative to the lowest polymorph listed for this composition: 0.000 eV/atom

---

Record 6
TiBe3I at its PBEsol-relaxed geometry. Source: Alexandria, functional meta-GGA SCAN.

The structure in POSCAR format:
```
TiBe3I
1.0
4.6812 0.0000 0.0000
0.0000 4.6812 0.0000
0.0000 0.0000 4.6812
Be Ti I
3 1 1
Cartesian
2.3406 0.0000 0.0000
0.0000 2.3406 0.0000
0.0000 0.0000 2.3406
0.0000 0.0000 0.0000
2.3406 2.3406 2.3406
```

Output
- Volume: 102.6 Å³/f.u.
- Energy: -11.50 eV/atom
- Symmetry: Pm-3m, No. 221
- Energy relative to the elements, uncorrected: 1668 meV/atom

---

Record 7
Cu2SiPt at its PBEsol-relaxed geometry. Source: Alexandria, functional meta-GGA SCAN.

The structure in POSCAR format:
```
Cu2SiPt
1.0
-1.2711 -1.8113 1.5961
0.0397 -2.5592 -2.8726
4.8944 -0.7785 0.7612
Pt Cu Si
1 2 1
Cartesian
2.5420 -0.5819 0.5535
0.5054 -2.1893 -0.6192
-0.9480 -1.5005 1.3237
2.7396 -3.0779 0.2033
```

Output
- Volume: 50.8 Å³/f.u.
- Energy: -27.92 eV/atom
- Symmetry: Pm, No. 6
- Energy relative to the elements, uncorrected: -265 meV/atom

---

Record 8
Ba2ZrAg at its PBEsol-relaxed geometry. Source: Alexandria, functional meta-GGA SCAN.

The structure in POSCAR format:
```
Ba2ZrAg
1.0
-2.4065 3.4580 -2.4552
1.1232 -2.2024 -4.2029
-3.6499 -3.3980 3.6338
Ba Zr Ag
2 1 1
Cartesian
-3.3490 0.3439 -1.0752
-1.5842 -2.4863 -1.9491
-0.6416 0.6278 -3.3291
0.0000 0.0000 0.0000
```

Output
- Volume: 121.7 Å³/f.u.
- Formation enthalpy at 0 K: 59.09 kJ/mol of atoms
- Energy: -34.68 eV/atom
- Symmetry: I4/mmm, No. 139
- Energy relative to the lowest polymorph listed for this composition: 0.055 eV/atom

---

Repeat the fourth record exactly.
Bi2Se3O9 at its PBEsol-relaxed geometry. Source: Alexandria, functional meta-GGA SCAN.

The structure in POSCAR format:
```
Bi2Se3O9
1.0
4.6229 0.0000 0.0000
0.0000 13.4777 -0.0339
0.0000 -6.4910 13.4704
Bi Se O
8 12 36
Cartesian
3.0037 -0.0865 4.1444
3.9306 3.4068 10.8626
1.6192 7.0732 9.2921
1.6602 7.0886 4.5864
0.6512 -2.8958 11.3386
3.9717 9.8824 2.0979
2.9627 -0.1019 8.8500
0.6923 3.5799 2.5739
4.1185 5.9223 6.9481
2.7540 3.5170 5.0303
2.8158 2.4290 0.2299
0.4426 -0.0236 1.6879
1.3862 10.3070 5.0961
0.9253 0.3226 11.8482
3.2367 -3.3203 8.3404
1.8689 3.4697 8.4061
1.8071 4.5576 13.2065
0.5044 1.0643 6.4883
3.6976 6.6640 1.5882
4.1803 7.0103 11.7485
3.5445 4.5276 13.2770
4.4405 7.9773 0.7781
2.6980 11.0166 4.2204
2.2036 4.7832 3.9668
2.4193 2.2034 9.4697
3.1170 -3.1953 12.2344
3.9098 7.1041 8.1880
0.1824 -0.9907 12.6583
2.4568 4.7479 9.4049
3.8174 6.7891 5.4823
0.1079 8.2766 10.6850
3.0388 7.7004 2.8580
4.2364 1.0322 10.9726
4.4776 1.2546 2.6867
2.5008 7.0159 11.4404
2.1290 8.9937 5.9062
1.0784 2.4591 0.1594
0.1894 3.4640 8.7143
1.5984 3.3759 11.9666
4.4336 3.5226 4.7221
2.4939 -2.0070 7.5303
3.8955 -2.2840 9.6101
0.8056 0.1975 7.9542
1.5841 -0.7137 10.5785
0.7131 -0.1174 5.2484
0.7274 9.2706 3.8263
1.9249 -4.0299 9.2160
0.1453 5.7320 10.7497
1.2330 5.9524 6.8776
0.3865 5.9544 2.4639
2.1661 2.2387 4.0315
3.0245 3.6108 1.4698
1.5059 10.1819 1.2020
2.1221 -0.0293 1.9961
4.5150 -1.2899 2.7514
3.3899 1.0342 6.5588
```

Output
- Volume: 209.6 Å³/f.u.
- Energy: -20.57 eV/atom
- Symmetry: P2_1/c, No. 14
- Energy relative to the elements, uncorrected: -1040 meV/atom

---

What did the sixth record say?
TiBe3I at its PBEsol-relaxed geometry. Source: Alexandria, functional meta-GGA SCAN.

The structure in POSCAR format:
```
TiBe3I
1.0
4.6812 0.0000 0.0000
0.0000 4.6812 0.0000
0.0000 0.0000 4.6812
Be Ti I
3 1 1
Cartesian
2.3406 0.0000 0.0000
0.0000 2.3406 0.0000
0.0000 0.0000 2.3406
0.0000 0.0000 0.0000
2.3406 2.3406 2.3406
```

Output
- Volume: 102.6 Å³/f.u.
- Energy: -11.50 eV/atom
- Symmetry: Pm-3m, No. 221
- Energy relative to the elements, uncorrected: 1668 meV/atom

---

Among the records above, which one has the highest energy?
TiBe3I